Below is a relaxed structure of Zn2Re, with properties calculated at the PBE level.

Its energy relative to the lowest polymorph listed for this composition is 31 meV per atom. Its crystal system is orthorhombic. The value obtained for the calculated volume is 43.1 Å³/f.u. As for the energy of formation from the pure elements: 160.2 meV/atom.

The space group is Cmcm (No. 63) and the conventional cell measures 8.855, 4.572 and 4.254 Å, with angles of 90.00, 90.00 and 90.00 degrees. Symmetry generates all atoms from Zn at (0.172, 0.155, 0.250) and Re at (0.000, 0.354, 0.750).